Ac2ScTe5Au, optimized geometry, DFT PBE; D(E_F) = 0.010 states/eV per atom; calculated density = 7.68 Mg/m³; space-group type = No. 36; formation energy (no corrections) = -11.23 eV per formula unit
1.0
2.2290 -9.7745 0.0000
2.2290 9.7745 0.0000
0.0000 0.0000 13.2431
Ac Sc Te Au
4 2 10 2
Direct
0.1155 0.8845 0.5000
0.1251 0.8749 0.1184
0.8749 0.1251 0.6184
0.8845 0.1155 0.0000
0.1861 0.8139 0.8192
0.8139 0.1861 0.3192
0.0448 0.9552 0.8724
0.2898 0.7102 0.4684
0.3005 0.6995 0.1596
0.3452 0.6548 0.8116
0.4992 0.5008 0.5828
0.5008 0.4992 0.0828
0.6548 0.3452 0.3116
0.6995 0.3005 0.6596
0.7102 0.2898 0.9684
0.9552 0.0448 0.3724
0.4250 0.5750 0.2612
0.5750 0.4250 0.7612